Record 1
{
  "formula": "MgZr2Bi",
  "functional": "GGA-PBE",
  "state": "optimized geometry",
  "cell": [[4.3874, 0.0000, 0.0000], [0.0000, 4.3874, 0.0000], [0.0000, 0.0000, 4.7654]],
  "species": ["Mg", "Zr", "Zr", "Bi"],
  "frac_coords": [[0.0000, 0.0000, 0.0000], [0.0000, 0.5000, 0.5000], [0.5000, 0.0000, 0.5000], [0.5000, 0.5000, 0.0000]],
  "delta_e_f_ev_per_atom": -0.138,
  "volume_a3_per_cell": 91.7,
  "magnetic_moment_mub_per_fu": 0.0
}

Record 2
{
  "formula": "Mg6ZrBi",
  "functional": "GGA-PBE",
  "state": "optimized geometry",
  "cell": [[5.2969, 0.0000, 0.0000], [0.0000, 3.0984, 5.6944], [0.0000, -3.0984, 5.6944]],
  "species": ["Mg", "Mg", "Mg", "Mg", "Mg", "Mg", "Zr", "Bi"],
  "frac_coords": [[0.0000, 0.0000, 0.0000], [0.0000, 0.9999, 0.4804], [0.0000, 0.4804, 0.9999], [0.0000, 0.4926, 0.4926], [0.5000, 0.3355, 0.8303], [0.5000, 0.8303, 0.3355], [0.5000, 0.3334, 0.3334], [0.5000, 0.8336, 0.8336]],
  "de_polymorph_mev_per_atom": 29,
  "delta_e_f_ev_per_atom": -0.016,
  "volume_a3_per_cell": 186.9,
  "magnetic_moment_mub_per_fu": 0.0
}

Record 3
{
  "formula": "MgZrBi2",
  "functional": "GGA-PBE",
  "state": "optimized geometry",
  "cell": [[3.9533, 0.0000, 0.0000], [0.0000, 3.9533, 0.0000], [0.0000, 0.0000, 6.5739]],
  "species": ["Mg", "Zr", "Bi", "Bi"],
  "frac_coords": [[0.0000, 0.0000, 0.0000], [0.0000, 0.0000, 0.5000], [0.5000, 0.5000, 0.2601], [0.5000, 0.5000, 0.7399]],
  "delta_e_f_ev_per_atom": -0.224,
  "volume_a3_per_cell": 102.7,
  "magnetic_moment_mub_per_fu": 0.0
}

Record 4
{
  "formula": "Mg14ZrBi",
  "functional": "GGA-PBE",
  "state": "optimized geometry",
  "cell": [[6.4444, 0.0000, 0.0000], [-3.2222, 5.5811, 0.0000], [0.0000, 0.0000, 10.3471]],
  "species": ["Mg", "Mg", "Mg", "Mg", "Mg", "Mg", "Mg", "Mg", "Mg", "Mg", "Mg", "Mg", "Mg", "Mg", "Zr", "Bi"],
  "frac_coords": [[0.0000, 0.0000, 0.2442], [0.0000, 0.0000, 0.7558], [0.0055, 0.5027, 0.2445], [0.0055, 0.5027, 0.7555], [0.3303, 0.1652, 0.5000], [0.3396, 0.1698, 0.0000], [0.4973, 0.5027, 0.2445], [0.4973, 0.5027, 0.7555], [0.4973, 0.9945, 0.2445], [0.4973, 0.9945, 0.7555], [0.8302, 0.1698, 0.0000], [0.8302, 0.6604, 0.0000], [0.8348, 0.1652, 0.5000], [0.8348, 0.6697, 0.5000], [0.3333, 0.6667, 0.0000], [0.3333, 0.6667, 0.5000]],
  "delta_e_f_ev_per_atom": -0.013,
  "volume_a3_per_cell": 372.2,
  "magnetic_moment_mub_per_fu": 0.0
}

Record 5
{
  "formula": "MgZr6Bi",
  "functional": "GGA-PBE",
  "state": "optimized geometry",
  "cell": [[5.2392, 0.0000, 0.0000], [0.0000, 3.2102, 5.5189], [0.0000, -3.2102, 5.5189]],
  "species": ["Mg", "Zr", "Zr", "Zr", "Zr", "Zr", "Zr", "Bi"],
  "frac_coords": [[0.0000, 0.0000, 0.0000], [0.0000, 0.4971, 0.9898], [0.0000, 0.9898, 0.4971], [0.5000, 0.1683, 0.6808], [0.5000, 0.1755, 0.1755], [0.5000, 0.6762, 0.6762], [0.5000, 0.6808, 0.1683], [0.0000, 0.4929, 0.4929]],
  "delta_e_f_ev_per_atom": -0.064,
  "volume_a3_per_cell": 185.6,
  "magnetic_moment_mub_per_fu": 0.0
}

Record 6
{
  "formula": "MgZrBi2",
  "functional": "GGA-PBE",
  "state": "optimized geometry",
  "cell": [[-3.3976, 3.3976, 6.6095], [3.3976, -3.3976, 6.6095], [3.3976, 3.3976, -6.6095]],
  "species": ["Mg", "Mg", "Zr", "Zr", "Bi", "Bi", "Bi", "Bi"],
  "frac_coords": [[0.0000, 0.0000, 0.0000], [0.7500, 0.2500, 0.5000], [0.2500, 0.7500, 0.5000], [0.5000, 0.5000, 0.0000], [0.1322, 0.6250, 0.0072], [0.3750, 0.3822, 0.5072], [0.6178, 0.1250, 0.9928], [0.8750, 0.8678, 0.4928]],
  "delta_e_f_ev_per_atom": 0.111,
  "volume_a3_per_cell": 305.2,
  "magnetic_moment_mub_per_fu": 0.0
}

Record 7
{
  "formula": "Mg6ZrBi",
  "functional": "GGA-PBE",
  "state": "optimized geometry",
  "cell": [[4.7303, 0.0000, 0.0000], [0.0000, 3.9502, 5.0056], [0.0000, -3.9502, 5.0056]],
  "species": ["Mg", "Mg", "Mg", "Mg", "Mg", "Mg", "Zr", "Bi"],
  "frac_coords": [[0.0000, 0.0000, 0.0000], [0.0000, 0.4942, 0.9367], [0.0000, 0.9367, 0.4942], [0.5000, 0.2638, 0.7377], [0.5000, 0.7377, 0.2638], [0.5000, 0.7800, 0.7800], [0.5000, 0.2250, 0.2250], [0.0000, 0.4362, 0.4362]],
  "de_polymorph_mev_per_atom": 0,
  "delta_e_f_ev_per_atom": -0.044,
  "volume_a3_per_cell": 187.1,
  "magnetic_moment_mub_per_fu": 0.0
}

Record 8
{
  "formula": "Mg2ZrBi2",
  "functional": "GGA-PBE",
  "state": "optimized geometry",
  "cell": [[7.9029, 0.0000, 0.0000], [0.0000, 7.9029, 0.0000], [0.0000, 0.0000, 4.1979]],
  "species": ["Mg", "Mg", "Mg", "Mg", "Zr", "Zr", "Bi", "Bi", "Bi", "Bi"],
  "frac_coords": [[0.1525, 0.3475, 0.0000], [0.3475, 0.8475, 0.0000], [0.6525, 0.1525, 0.0000], [0.8475, 0.6525, 0.0000], [0.0000, 0.0000, 0.5000], [0.5000, 0.5000, 0.5000], [0.1548, 0.6548, 0.5000], [0.3452, 0.1548, 0.5000], [0.6548, 0.8452, 0.5000], [0.8452, 0.3452, 0.5000]],
  "delta_e_f_ev_per_atom": -0.062,
  "volume_a3_per_cell": 262.2,
  "magnetic_moment_mub_per_fu": 0.0
}